1.
{"formula": "PrMg3Pt", "functional": "GGA-PBE", "state": "relaxed", "cell": [[5.015, 0.000, 0.000], [0.000, 5.015, 0.000], [0.000, 0.000, 5.015]], "species": ["Pr", "Mg", "Mg", "Mg", "Pt"], "frac_coords": [[0.500, 0.500, 0.500], [0.000, 0.500, 0.000], [0.000, 0.000, 0.500], [0.500, 0.000, 0.000], [0.000, 0.000, 0.000]], "total_energy_ev_per_cell": -17.43, "total_magnetization_mub_per_fu": 0.00, "sg": "No. 221", "de_polymorph_ev_per_atom": 0.147, "rho_g_cm3": 5.384}

***

2.
{"formula": "Pr2Mg3Pt4", "functional": "GGA-PBE", "state": "relaxed", "cell": [[5.823, 0.000, 0.000], [0.000, 7.682, 0.000], [-2.911, 0.000, 8.215]], "species": ["Pr", "Pr", "Pr", "Pr", "Mg", "Mg", "Mg", "Mg", "Mg", "Mg", "Pt", "Pt", "Pt", "Pt", "Pt", "Pt", "Pt", "Pt"], "frac_coords": [[0.106, 0.588, 0.212], [0.894, 0.412, 0.788], [0.394, 0.088, 0.788], [0.606, 0.912, 0.212], [0.000, 0.000, 0.000], [0.500, 0.500, 0.000], [0.523, 0.750, 0.547], [0.977, 0.250, 0.453], [0.477, 0.250, 0.453], [0.023, 0.750, 0.547], [0.687, 0.750, 0.875], [0.813, 0.250, 0.125], [0.313, 0.250, 0.125], [0.187, 0.750, 0.875], [0.173, 0.966, 0.345], [0.827, 0.034, 0.655], [0.327, 0.466, 0.655], [0.673, 0.534, 0.345]], "total_energy_ev_per_cell": -92.91, "total_magnetization_mub_per_fu": 0.00, "sg": "No. 64", "rho_g_cm3": 10.258}

***

3.
{"formula": "Pr6Mg2Pt", "functional": "GGA-PBE", "state": "relaxed", "cell": [[6.474, 0.000, 0.956], [0.000, 8.482, 0.000], [0.514, 0.000, 10.546]], "species": ["Pr", "Pr", "Pr", "Pr", "Pr", "Pr", "Pr", "Pr", "Pr", "Pr", "Pr", "Pr", "Mg", "Mg", "Mg", "Mg", "Pt", "Pt"], "frac_coords": [[0.862, 0.961, 0.250], [0.870, 0.660, 0.517], [0.886, 0.705, 0.964], [0.614, 0.205, 0.536], [0.630, 0.160, 0.983], [0.638, 0.461, 0.250], [0.138, 0.039, 0.750], [0.130, 0.340, 0.483], [0.114, 0.295, 0.036], [0.386, 0.795, 0.464], [0.370, 0.840, 0.017], [0.362, 0.539, 0.750], [0.847, 0.407, 0.776], [0.653, 0.907, 0.724], [0.347, 0.093, 0.276], [0.153, 0.593, 0.224], [0.500, 0.500, 0.000], [0.000, 0.000, 0.500]], "total_energy_ev_per_cell": -78.91, "total_magnetization_mub_per_fu": 0.00, "sg": "No. 14", "rho_g_cm3": 6.291}

***

4.
{"formula": "Pr4MgPt", "functional": "GGA-PBE", "state": "relaxed", "cell": [[8.806, 0.000, 5.084], [2.935, 8.302, 5.084], [0.000, 0.000, 10.168]], "species": ["Pr", "Pr", "Pr", "Pr", "Pr", "Pr", "Pr", "Pr", "Pr", "Pr", "Pr", "Pr", "Pr", "Pr", "Pr", "Pr", "Mg", "Mg", "Mg", "Mg", "Pt", "Pt", "Pt", "Pt"], "frac_coords": [[0.402, 0.402, 0.402], [0.795, 0.402, 0.402], [0.402, 0.795, 0.402], [0.402, 0.402, 0.795], [0.559, 0.559, 0.941], [0.941, 0.941, 0.559], [0.559, 0.941, 0.559], [0.941, 0.559, 0.941], [0.941, 0.559, 0.559], [0.559, 0.941, 0.941], [0.185, 0.185, 0.815], [0.815, 0.815, 0.185], [0.185, 0.815, 0.185], [0.815, 0.185, 0.815], [0.815, 0.185, 0.185], [0.185, 0.815, 0.815], [0.171, 0.171, 0.171], [0.487, 0.171, 0.171], [0.171, 0.487, 0.171], [0.171, 0.171, 0.487], [0.607, 0.607, 0.607], [0.178, 0.607, 0.607], [0.607, 0.178, 0.607], [0.607, 0.607, 0.178]], "total_energy_ev_per_cell": -117.84, "total_magnetization_mub_per_fu": 0.00, "sg": "No. 216", "de_polymorph_ev_per_atom": 0.000, "rho_g_cm3": 6.997}

***

5.
{"formula": "Pr23Mg4Pt7", "functional": "GGA-PBE", "state": "relaxed", "cell": [[-7.864, -4.985, 4.193], [7.531, -5.216, -4.511], [11.362, -0.998, 20.121]], "species": ["Pr", "Pr", "Pr", "Pr", "Pr", "Pr", "Pr", "Pr", "Pr", "Pr", "Pr", "Pr", "Pr", "Pr", "Pr", "Pr", "Pr", "Pr", "Pr", "Pr", "Pr", "Pr", "Pr", "Pr", "Pr", "Pr", "Pr", "Pr", "Pr", "Pr", "Pr", "Pr", "Pr", "Pr", "Pr", "Pr", "Pr", "Pr", "Pr", "Pr", "Pr", "Pr", "Pr", "Pr", "Pr", "Pr", "Mg", "Mg", "Mg", "Mg", "Mg", "Mg", "Mg", "Mg", "Pt", "Pt", "Pt", "Pt", "Pt", "Pt", "Pt", "Pt", "Pt", "Pt", "Pt", "Pt", "Pt", "Pt"], "frac_coords": [[0.206, 0.413, 0.720], [0.206, 0.794, 0.720], [0.794, 0.587, 0.220], [0.587, 0.794, 0.720], [0.794, 0.206, 0.220], [0.413, 0.206, 0.220], [0.794, 0.588, 0.946], [0.794, 0.206, 0.946], [0.206, 0.412, 0.446], [0.412, 0.206, 0.946], [0.206, 0.794, 0.446], [0.588, 0.794, 0.446], [0.211, 0.423, 0.991], [0.211, 0.789, 0.991], [0.789, 0.577, 0.491], [0.577, 0.789, 0.991], [0.789, 0.211, 0.491], [0.423, 0.211, 0.491], [0.871, 0.741, 0.636], [0.871, 0.129, 0.636], [0.129, 0.259, 0.136], [0.259, 0.129, 0.636], [0.129, 0.871, 0.136], [0.741, 0.871, 0.136], [0.456, 0.913, 0.856], [0.456, 0.544, 0.856], [0.544, 0.087, 0.356], [0.087, 0.544, 0.856], [0.544, 0.456, 0.356], [0.913, 0.456, 0.356], [0.000, 0.000, 0.997], [0.000, 0.000, 0.497], [0.461, 0.922, 0.585], [0.461, 0.539, 0.585], [0.539, 0.078, 0.085], [0.078, 0.539, 0.585], [0.539, 0.461, 0.085], [0.922, 0.461, 0.085], [0.798, 0.597, 0.783], [0.798, 0.202, 0.783], [0.202, 0.403, 0.283], [0.403, 0.202, 0.783], [0.202, 0.798, 0.283], [0.597, 0.798, 0.283], [0.667, 0.333, 0.643], [0.333, 0.667, 0.143], [0.000, 0.000, 0.750], [0.000, 0.000, 0.250], [0.106, 0.211, 0.863], [0.106, 0.894, 0.863], [0.894, 0.789, 0.363], [0.789, 0.894, 0.863], [0.894, 0.106, 0.363], [0.211, 0.106, 0.363], [0.523, 0.045, 0.711], [0.523, 0.477, 0.711], [0.477, 0.955, 0.211], [0.955, 0.477, 0.711], [0.477, 0.523, 0.211], [0.045, 0.523, 0.211], [0.667, 0.333, 0.862], [0.333, 0.667, 0.362], [0.143, 0.286, 0.564], [0.143, 0.857, 0.564], [0.857, 0.714, 0.064], [0.714, 0.857, 0.564], [0.857, 0.143, 0.064], [0.286, 0.143, 0.064]], "total_energy_ev_per_cell": -353.65, "total_magnetization_mub_per_fu": 0.00, "sg": "No. 186", "rho_g_cm3": 7.479}

***

6.
{"formula": "PrMg5Pt2", "functional": "GGA-PBE", "state": "relaxed", "cell": [[3.989, 0.000, 1.320], [1.487, 6.306, 2.193], [-0.048, -0.357, 6.831]], "species": ["Pr", "Mg", "Mg", "Mg", "Mg", "Mg", "Pt", "Pt"], "frac_coords": [[0.000, 0.000, 0.000], [0.000, 0.500, 0.500], [0.663, 0.520, 0.154], [0.337, 0.480, 0.846], [0.337, 0.846, 0.480], [0.663, 0.154, 0.520], [0.732, 0.768, 0.768], [0.268, 0.232, 0.232]], "total_energy_ev_per_cell": -29.84, "total_magnetization_mub_per_fu": 0.00, "sg": "No. 71", "rho_g_cm3": 6.204}

***

7.
{"formula": "PrMgPt2", "functional": "GGA-PBE", "state": "relaxed", "cell": [[3.454, 0.000, 0.000], [0.000, 3.454, 0.000], [0.000, 0.000, 6.747]], "species": ["Pr", "Mg", "Pt", "Pt"], "frac_coords": [[0.500, 0.500, 0.500], [0.500, 0.500, 0.000], [0.000, 0.000, 0.786], [0.000, 0.000, 0.214]], "total_energy_ev_per_cell": -22.02, "total_magnetization_mub_per_fu": 0.00, "sg": "No. 123", "rho_g_cm3": 11.456}

***

8.
{"formula": "PrMg4Pt2", "functional": "GGA-PBE", "state": "relaxed", "cell": [[-2.106, -3.641, -1.450], [3.789, -4.443, 5.651], [-6.073, 1.441, 5.204]], "species": ["Pr", "Pr", "Mg", "Mg", "Mg", "Mg", "Mg", "Mg", "Mg", "Mg", "Pt", "Pt", "Pt", "Pt"], "frac_coords": [[0.500, 0.000, 0.000], [0.000, 0.500, 0.500], [0.000, 0.088, 0.336], [0.000, 0.912, 0.664], [0.500, 0.164, 0.588], [0.500, 0.836, 0.412], [0.500, 0.412, 0.836], [0.500, 0.588, 0.164], [0.000, 0.336, 0.088], [0.000, 0.664, 0.912], [0.000, 0.227, 0.773], [0.000, 0.773, 0.227], [0.500, 0.727, 0.727], [0.500, 0.273, 0.273]], "total_energy_ev_per_cell": -56.25, "total_magnetization_mub_per_fu": 0.00, "sg": "No. 136", "rho_g_cm3": 7.103}

***

9.
{"formula": "Pr4MgPt", "functional": "GGA-PBE", "state": "relaxed", "cell": [[8.371, 0.550, 0.000], [-2.877, 7.881, 0.000], [-2.747, -4.216, 6.713]], "species": ["Pr", "Pr", "Pr", "Pr", "Pr", "Pr", "Pr", "Pr", "Mg", "Mg", "Pt", "Pt"], "frac_coords": [[0.274, 0.955, 0.681], [0.726, 0.419, 0.693], [0.705, 0.524, 0.181], [0.169, 0.976, 0.193], [0.344, 0.524, 0.819], [0.784, 0.976, 0.807], [0.726, 0.034, 0.307], [0.274, 0.594, 0.319], [0.246, 0.246, 0.000], [0.996, 0.496, 0.500], [0.752, 0.752, 0.000], [0.502, 0.002, 0.500]], "total_energy_ev_per_cell": -53.96, "total_magnetization_mub_per_fu": 0.00, "sg": "No. 109", "de_polymorph_ev_per_atom": 0.413, "rho_g_cm3": 5.734}